(1)
NaCaRu2: relaxed, PBE-GGA.

Energy of formation ... 1.00 eV/atom
Total moment ... 9.4 Bohr magnetons per cell

The structure in CIF format:
```
data_NaCaRu2
_cell_length_a 6.725
_cell_length_b 6.725
_cell_length_c 6.725
_cell_angle_alpha 90.00
_cell_angle_beta 90.00
_cell_angle_gamma 90.00
_space_group_name_H-M_alt 'F m -3 m'
_space_group_IT_number 225
_space_group_name_Hall '-F 4 2 3'
loop_
_atom_site_label
_atom_site_type_symbol
_atom_site_fract_x
_atom_site_fract_y
_atom_site_fract_z
Na1 Na 0.000 0.000 0.000
Ca1 Ca 0.000 0.000 0.500
Ru1 Ru 0.250 0.250 0.250
```

---

(2)
SrAs2PPt: relaxed, PBE-GGA.

Energy of formation ... -0.11 eV/atom
Total moment ... 0.0 Bohr magnetons per cell

The structure in CIF format:
```
data_SrAs2PPt
_cell_length_a 5.336
_cell_length_b 5.336
_cell_length_c 4.409
_cell_angle_alpha 90.00
_cell_angle_beta 90.00
_cell_angle_gamma 90.00
_space_group_name_H-M_alt 'P 4/m m m'
_space_group_IT_number 123
_space_group_name_Hall '-P 4 2'
loop_
_atom_site_label
_atom_site_type_symbol
_atom_site_fract_x
_atom_site_fract_y
_atom_site_fract_z
Sr1 Sr 0.000 0.000 0.000
As1 As 0.000 0.500 0.500
P1 P 0.500 0.500 0.000
Pt1 Pt 0.500 0.500 0.500
```

---

(3)
Pm3Pr8Er3: relaxed, PBE-GGA.

Energy of formation ... 0.12 eV/atom
Total moment ... 0.0 Bohr magnetons per cell

The structure in CIF format:
```
data_Pm3Pr8Er3
_cell_length_a 5.732
_cell_length_b 10.979
_cell_length_c 15.468
_cell_angle_alpha 90.00
_cell_angle_beta 90.00
_cell_angle_gamma 90.00
_space_group_name_H-M_alt 'I m m m'
_space_group_IT_number 71
_space_group_name_Hall '-I 2 2'
loop_
_atom_site_label
_atom_site_type_symbol
_atom_site_fract_x
_atom_site_fract_y
_atom_site_fract_z
Pm1 Pm 0.000 0.000 0.000
Pm2 Pm 0.000 0.307 0.000
Pr1 Pr 0.000 0.157 0.226
Pr2 Pr 0.000 0.337 0.396
Er1 Er 0.000 0.000 0.500
Er2 Er 0.000 0.500 0.182
```

---

(4)
Pa3Re5Si2: relaxed, PBE-GGA.

Total moment ... 0.0 Bohr magnetons per cell
Raw formation energy ... -0.06 eV/atom

The structure in CIF format:
```
data_Pa3Re5Si2
_cell_length_a 11.176
_cell_length_b 11.607
_cell_length_c 5.971
_cell_angle_alpha 90.00
_cell_angle_beta 90.00
_cell_angle_gamma 90.00
_space_group_name_H-M_alt 'I b a m'
_space_group_IT_number 72
_space_group_name_Hall '-I 2 2c'
loop_
_atom_site_label
_atom_site_type_symbol
_atom_site_fract_x
_atom_site_fract_y
_atom_site_fract_z
Pa1 Pa 0.000 0.000 0.250
Pa2 Pa 0.234 0.381 0.000
Re1 Re 0.000 0.222 0.250
Re2 Re 0.000 0.500 0.250
Re3 Re 0.118 0.366 0.500
Si1 Si 0.167 0.137 0.000
```

---

(5)
Hf8InHg2: relaxed, PBE-GGA.

Energy of formation ... 0.15 eV/atom
Total moment ... 0.0 Bohr magnetons per cell

The structure in CIF format:
```
data_Hf8InHg2
_cell_length_a 7.817
_cell_length_b 13.712
_cell_length_c 5.158
_cell_angle_alpha 90.00
_cell_angle_beta 115.17
_cell_angle_gamma 90.00
_space_group_name_H-M_alt 'C 1 2/m 1'
_space_group_IT_number 12
_space_group_name_Hall '-C 2y'
loop_
_atom_site_label
_atom_site_type_symbol
_atom_site_fract_x
_atom_site_fract_y
_atom_site_fract_z
Hf1 Hf 0.000 0.217 0.000
Hf2 Hf 0.086 0.500 0.795
Hf3 Hf 0.207 0.111 0.654
In1 In 0.000 0.000 0.000
Hg1 Hg 0.000 0.306 0.500
```

---

(6)
YTaRe2: relaxed, PBE-GGA.

Energy of formation ... 0.42 eV/atom
Total moment ... 0.0 Bohr magnetons per cell

The structure in CIF format:
```
data_YTaRe2
_cell_length_a 2.9356
_cell_length_b 2.9356
_cell_length_c 29.5236
_cell_angle_alpha 90.00
_cell_angle_beta 90.00
_cell_angle_gamma 120.00
_space_group_name_H-M_alt 'R 3 m'
_space_group_IT_number 160
_space_group_name_Hall 'R 3 -2"'
loop_
_atom_site_label
_atom_site_type_symbol
_atom_site_fract_x
_atom_site_fract_y
_atom_site_fract_z
Y1 Y 0.0000 0.0000 0.0000
Ta1 Ta 0.0000 0.0000 0.7619
Re1 Re 0.0000 0.0000 0.2446
Re2 Re 0.0000 0.0000 0.5083
```